No. 1
Material: InSF2
Method: DFT, PBE-GGA
State: relaxed

a = 8.0881 Å, b = 8.0881 Å, c = 8.0881 Å
α = 22.57°, β = 22.57°, γ = 22.57°
Last column: magnetic moment on the atom in μB.
Sites, in units of the cell vectors:
S  0.0000  0.0000  0.0000  0.26
F  0.9206  0.9206  0.9206  0.01
F  0.0794  0.0794  0.0794  0.01
In  0.5000  0.5000  0.5000  0.00

ΔE to the lowest computed polymorph ... 159 meV per atom
DOS at the Fermi energy ... 1.11 states/eV per cell


No. 2
Material: ZrZn2Tc2
Method: DFT, PBE-GGA
State: relaxed

a = 6.8620 Å, b = 6.8620 Å, c = 3.3601 Å
α = 90.00°, β = 90.00°, γ = 90.00°
Sites, in units of the cell vectors:
Zn  0.3782  0.8782  0.0000
Zn  0.8782  0.6218  0.0000
Zn  0.6218  0.1218  0.0000
Zn  0.1218  0.3782  0.0000
Tc  0.1765  0.6765  0.5000
Tc  0.6765  0.8235  0.5000
Tc  0.8235  0.3235  0.5000
Tc  0.3235  0.1765  0.5000
Zr  0.0000  0.0000  0.0000
Zr  0.5000  0.5000  0.0000

Formation enthalpy at 0 K ... 0.01 eV/atom
ΔE to the lowest computed polymorph ... 0 meV per atom
DOS at the Fermi energy ... 7.13 states/eV per cell


No. 3
Material: TaSiRu2Br
Method: DFT, PBE-GGA
State: relaxed

a = 4.7988 Å, b = 4.9139 Å, c = 4.7988 Å
α = 90.00°, β = 90.00°, γ = 90.00°
Last column: magnetic moment on the atom in μB.
Sites, in units of the cell vectors:
Ru  0.0000  0.0000  0.5000  0.17
Ru  0.5000  0.0000  0.0000  0.11
Si  0.5000  0.5000  0.5000  -0.02
Br  0.0000  0.5000  0.0000  0.00
Ta  0.0000  0.0000  0.0000  -0.03

Uncorrected energy ... -6.045 eV/atom
DOS at the Fermi energy ... 4.57 states/eV per cell


No. 4
Material: La9In2Pb
Method: DFT, PBE-GGA
State: relaxed

a = 5.0686 Å, b = 5.0686 Å, c = 15.1978 Å
α = 90.00°, β = 90.00°, γ = 90.00°
Sites, in units of the cell vectors:
La  0.5000  0.5000  0.0000
La  0.5000  0.5000  0.3353
La  0.5000  0.5000  0.6647
La  0.5000  0.0000  0.1671
La  0.5000  0.0000  0.5000
La  0.5000  0.0000  0.8329
La  0.0000  0.5000  0.1671
La  0.0000  0.5000  0.5000
La  0.0000  0.5000  0.8329
In  0.0000  0.0000  0.3334
In  0.0000  0.0000  0.6666
Pb  0.0000  0.0000  0.0000

Formation enthalpy at 0 K ... -0.33 eV/atom
DOS at the Fermi energy ... 18.61 states/eV per cell


No. 5
Material: Na3Al2Te4
Method: DFT, PBE-GGA
State: relaxed

a = 8.0393 Å, b = 8.5319 Å, c = 9.6726 Å
α = 116.17°, β = 89.97°, γ = 90.00°
Sites, in units of the cell vectors:
Na  0.1460  0.7883  0.7692
Na  0.3540  0.0191  0.2308
Na  0.8540  0.2117  0.2308
Na  0.6460  0.9809  0.7692
Na  0.7500  0.5031  0.0000
Na  0.2500  0.4969  0.0000
Al  0.5185  0.5478  0.3814
Al  0.9815  0.1663  0.6186
Al  0.4815  0.4522  0.6186
Al  0.0185  0.8337  0.3814
Te  0.5015  0.7089  0.8880
Te  0.9985  0.8209  0.1120
Te  0.4985  0.2911  0.1120
Te  0.0015  0.1791  0.8880
Te  0.8278  0.6526  0.4824
Te  0.6722  0.1702  0.5176
Te  0.1722  0.3474  0.5176
Te  0.3278  0.8298  0.4824

ΔE to the lowest computed polymorph ... 16 meV per atom
DOS at the Fermi energy ... 7.80 states/eV per cell


No. 6
Material: MoSeS2N
Method: DFT, PBE-GGA
State: relaxed

a = 4.8195 Å, b = 4.8195 Å, c = 3.8065 Å
α = 90.00°, β = 90.00°, γ = 90.00°
Sites, in units of the cell vectors:
Mo  0.0000  0.0000  0.0000
S  0.0000  0.5000  0.0000
S  0.5000  0.0000  0.0000
Se  0.5000  0.5000  0.5000
N  0.0000  0.0000  0.5000

ΔE to the lowest computed polymorph ... 0 meV per atom
DOS at the Fermi energy ... 4.17 states/eV per cell


No. 7
Material: Na2CdCoCl6
Method: DFT, PBE-GGA
State: relaxed

a = 6.7988 Å, b = 6.7984 Å, c = 7.0490 Å
α = 61.17°, β = 61.17°, γ = 60.00°
Last column: magnetic moment on the atom in μB.
Sites, in units of the cell vectors:
Na  0.5285  0.5286  0.4142  0.00
Na  0.0249  0.0249  0.9254  0.00
Cd  0.8175  0.8174  0.5475  0.02
Co  0.3200  0.3199  0.0403  2.51
Cl  0.5745  0.1997  0.2551  0.06
Cl  0.1997  0.9707  0.2551  0.06
Cl  0.9706  0.5745  0.2551  0.06
Cl  0.4449  0.6801  0.7742  0.05
Cl  0.6802  0.1008  0.7741  0.05
Cl  0.1008  0.4449  0.7742  0.05

Uncorrected energy ... -3.339 eV/atom
DOS at the Fermi energy ... 0.76 states/eV per cell


No. 8
Material: ZrAlRu2F
Method: DFT, PBE-GGA
State: relaxed

a = 4.7800 Å, b = 5.5932 Å, c = 4.7800 Å
α = 90.00°, β = 90.00°, γ = 90.00°
Last column: magnetic moment on the atom in μB.
Sites, in units of the cell vectors:
Ru  0.0000  0.0000  0.5000  1.03
Ru  0.5000  0.0000  0.0000  1.14
Al  0.0000  0.5000  0.0000  -0.01
Zr  0.0000  0.0000  0.0000  -0.22
F  0.5000  0.5000  0.5000  0.03

Uncorrected energy ... -5.293 eV/atom
DOS at the Fermi energy ... 5.73 states/eV per cell


No. 9
Material: LiHgSe2O
Method: DFT, PBE-GGA
State: relaxed

a = 4.7463 Å, b = 3.9084 Å, c = 4.7463 Å
α = 90.00°, β = 90.00°, γ = 90.00°
Sites, in units of the cell vectors:
O  0.0000  0.0000  0.0000
Hg  0.5000  0.5000  0.5000
Se  0.0000  0.0000  0.5000
Se  0.5000  0.0000  0.0000
Li  0.0000  0.5000  0.0000

Uncorrected energy ... -3.114 eV/atom
DOS at the Fermi energy ... 1.64 states/eV per cell


No. 10
Material: TcCl3
Method: DFT, PBE-GGA
State: relaxed

a = 5.7374 Å, b = 5.7374 Å, c = 6.9070 Å
α = 81.46°, β = 81.46°, γ = 115.10°
Last column: magnetic moment on the atom in μB.
Sites, in units of the cell vectors:
Tc  0.8582  0.1418  0.0000  0.85
Tc  0.1418  0.8582  0.0000  0.85
Cl  0.2340  0.2340  0.7573  0.04
Cl  0.7660  0.7660  0.2427  0.04
Cl  0.5579  0.8982  0.8055  0.01
Cl  0.8982  0.5579  0.8055  0.01
Cl  0.4421  0.1018  0.1945  0.01
Cl  0.1018  0.4421  0.1945  0.01

ΔE to the lowest computed polymorph ... 78 meV per atom
DOS at the Fermi energy ... 1.87 states/eV per cell


No. 11
Material: NbInSbSe2
Method: DFT, PBE-GGA
State: relaxed

a = 5.1566 Å, b = 5.4944 Å, c = 5.1566 Å
α = 90.00°, β = 90.00°, γ = 90.00°
Last column: magnetic moment on the atom in μB.
Sites, in units of the cell vectors:
Sb  0.5000  0.5000  0.5000  -0.14
Nb  0.0000  0.5000  0.0000  2.07
Se  0.0000  0.0000  0.5000  0.03
Se  0.5000  0.0000  0.0000  0.01
In  0.0000  0.0000  0.0000  0.04

Uncorrected energy ... -3.714 eV/atom
DOS at the Fermi energy ... 6.49 states/eV per cell


No. 12
Material: Pr4InHg2Ru
Method: DFT, PBE-GGA
State: relaxed

a = 5.4000 Å, b = 5.4000 Å, c = 9.1886 Å
α = 72.91°, β = 72.91°, γ = 60.00°
Sites, in units of the cell vectors:
Pr  0.3882  0.3882  0.8355
Pr  0.8671  0.8671  0.3987
Pr  0.1329  0.1329  0.6013
Pr  0.6118  0.6118  0.1645
In  0.0000  0.0000  0.0000
Hg  0.7384  0.7384  0.7847
Hg  0.2616  0.2616  0.2153
Ru  0.5000  0.5000  0.5000

Formation enthalpy at 0 K ... -0.39 eV/atom
DOS at the Fermi energy ... 5.07 states/eV per cell


No. 13
Material: Li2HfBr6
Method: DFT, PBE-GGA
State: relaxed

a = 6.7602 Å, b = 6.5352 Å, c = 11.6108 Å
α = 90.00°, β = 89.95°, γ = 90.00°
Sites, in units of the cell vectors:
Li  0.0001  0.4985  0.8315
Li  0.4999  0.9985  0.6685
Li  0.5001  0.0015  0.3315
Li  0.9999  0.5015  0.1685
Hf  0.5000  0.5000  0.0000
Hf  0.0000  0.0000  0.5000
Br  0.8352  0.7720  0.3396
Br  0.8352  0.7694  0.6593
Br  0.8173  0.7297  0.9994
Br  0.6827  0.2297  0.5006
Br  0.6648  0.2694  0.8407
Br  0.6648  0.2720  0.1604
Br  0.1648  0.2280  0.6604
Br  0.1648  0.2306  0.3407
Br  0.1827  0.2703  0.0006
Br  0.3173  0.7703  0.4994
Br  0.3352  0.7306  0.1593
Br  0.3352  0.7280  0.8396

Uncorrected energy ... -4.100 eV/atom
DOS at the Fermi energy ... 0.00 states/eV per cell


No. 14
Material: SrSc2Ir
Method: DFT, PBE-GGA
State: relaxed

a = 4.9634 Å, b = 4.9634 Å, c = 4.9634 Å
α = 60.00°, β = 60.00°, γ = 60.00°
Sites, in units of the cell vectors:
Sc  0.2500  0.2500  0.2500
Sc  0.7500  0.7500  0.7500
Sr  0.0000  0.0000  0.0000
Ir  0.5000  0.5000  0.5000

Formation enthalpy at 0 K ... -0.07 eV/atom
ΔE to the lowest computed polymorph ... 292 meV per atom
DOS at the Fermi energy ... 4.34 states/eV per cell


No. 15
Material: Pr2As4Pd3Pt
Method: DFT, PBE-GGA
State: relaxed

a = 4.4695 Å, b = 4.4695 Å, c = 9.9230 Å
α = 90.00°, β = 90.00°, γ = 90.00°
Sites, in units of the cell vectors:
Pr  0.5000  0.0000  0.2495
Pr  0.0000  0.5000  0.7505
As  0.5000  0.5000  0.0000
As  0.0000  0.0000  0.0000
As  0.5000  0.0000  0.6302
As  0.0000  0.5000  0.3698
Pd  0.0000  0.0000  0.5000
Pd  0.5000  0.0000  0.8794
Pd  0.0000  0.5000  0.1206
Pt  0.5000  0.5000  0.5000

Formation enthalpy at 0 K ... -0.87 eV/atom
DOS at the Fermi energy ... 3.65 states/eV per cell


No. 16
Material: TaCd3Te
Method: DFT, PBE-GGA
State: relaxed

a = 5.4557 Å, b = 5.4557 Å, c = 5.4557 Å
α = 90.00°, β = 90.00°, γ = 90.00°
Sites, in units of the cell vectors:
Cd  0.0000  0.5000  0.0000
Cd  0.0000  0.0000  0.5000
Cd  0.5000  0.0000  0.0000
Te  0.5000  0.5000  0.5000
Ta  0.0000  0.0000  0.0000

ΔE to the lowest computed polymorph ... 0 meV per atom
DOS at the Fermi energy ... 4.16 states/eV per cell


No. 17
Material: CaCdMo2
Method: DFT, PBE-GGA
State: relaxed

a = 5.5558 Å, b = 5.8233 Å, c = 2.7688 Å
α = 81.72°, β = 78.67°, γ = 115.49°
Sites, in units of the cell vectors:
Mo  0.0000  0.0000  0.0000
Mo  0.5000  0.0000  0.5000
Ca  0.0000  0.5000  0.5000
Cd  0.5000  0.5000  0.0000

Formation enthalpy at 0 K ... 0.64 eV/atom
DOS at the Fermi energy ... 3.68 states/eV per cell


No. 18
Material: Zr2Ga2Co5Si
Method: DFT, PBE-GGA
State: relaxed

a = 2.9071 Å, b = 9.6904 Å, c = 9.6904 Å
α = 90.00°, β = 90.00°, γ = 90.00°
Sites, in units of the cell vectors:
Zr  0.0000  0.6718  0.1718
Zr  0.0000  0.3282  0.8282
Zr  0.0000  0.1718  0.3282
Zr  0.0000  0.8282  0.6718
Ga  0.0000  0.1330  0.6330
Ga  0.0000  0.8670  0.3670
Ga  0.0000  0.6330  0.8670
Ga  0.0000  0.3670  0.1330
Co  0.5000  0.1899  0.0426
Co  0.5000  0.8101  0.9574
Co  0.5000  0.0426  0.8101
Co  0.5000  0.6899  0.4574
Co  0.5000  0.9574  0.1899
Co  0.5000  0.3101  0.5426
Co  0.5000  0.5426  0.6899
Co  0.5000  0.4574  0.3101
Co  0.5000  0.5000  0.0000
Co  0.5000  0.0000  0.5000
Si  0.0000  0.0000  0.0000
Si  0.0000  0.5000  0.5000

Uncorrected energy ... -6.710 eV/atom
DOS at the Fermi energy ... 17.58 states/eV per cell


No. 19
Material: Nd5TmGa4
Method: DFT, PBE-GGA
State: relaxed

a = 4.2248 Å, b = 8.2980 Å, c = 8.5973 Å
α = 78.45°, β = 104.22°, γ = 90.00°
Sites, in units of the cell vectors:
Nd  0.8262  0.5734  0.6524
Nd  0.8274  0.1172  0.6549
Nd  0.1726  0.8828  0.3451
Nd  0.5000  0.5000  0.0000
Nd  0.1738  0.4266  0.3476
Tm  0.5000  0.0000  0.0000
Ga  0.3608  0.8302  0.7215
Ga  0.9714  0.7718  0.9428
Ga  0.6392  0.1698  0.2785
Ga  0.0286  0.2282  0.0572

Formation enthalpy at 0 K ... -0.35 eV/atom
DOS at the Fermi energy ... 9.90 states/eV per cell


No. 20
Material: PaAgHgPd
Method: DFT, PBE-GGA
State: relaxed

a = 4.9045 Å, b = 4.9045 Å, c = 4.9045 Å
α = 60.00°, β = 60.00°, γ = 60.00°
Sites, in units of the cell vectors:
Pd  0.5000  0.5000  0.5000
Pa  0.2500  0.2500  0.2500
Hg  0.7500  0.7500  0.7500
Ag  0.0000  0.0000  0.0000

Formation enthalpy at 0 K ... -0.11 eV/atom
DOS at the Fermi energy ... 6.25 states/eV per cell


No. 21
Material: SrPuGa
Method: DFT, PBE-GGA
State: relaxed

a = 3.5358 Å, b = 3.5358 Å, c = 12.7461 Å
α = 97.90°, β = 97.90°, γ = 90.02°
Sites, in units of the cell vectors:
Ga  0.9022  0.9022  0.8032
Ga  0.0978  0.0978  0.1968
Sr  0.3233  0.3233  0.6446
Sr  0.6767  0.6767  0.3554
Pu  0.5000  0.0000  0.0000
Pu  0.0000  0.5000  0.0000

Formation enthalpy at 0 K ... 0.18 eV/atom
ΔE to the lowest computed polymorph ... 236 meV per atom
DOS at the Fermi energy ... 10.51 states/eV per cell


No. 22
Material: BaZrOs2
Method: DFT, PBE-GGA
State: relaxed

a = 9.5302 Å, b = 9.5302 Å, c = 9.5302 Å
α = 19.59°, β = 19.59°, γ = 19.59°
Sites, in units of the cell vectors:
Ba  0.7500  0.7500  0.7500
Os  0.9877  0.9877  0.9877
Os  0.5123  0.5123  0.5123
Zr  0.2500  0.2500  0.2500

Formation enthalpy at 0 K ... 0.72 eV/atom
ΔE to the lowest computed polymorph ... 519 meV per atom
DOS at the Fermi energy ... 4.12 states/eV per cell


No. 23
Material: CsAcHg17
Method: DFT, PBE-GGA
State: relaxed

a = 8.4042 Å, b = 8.4042 Å, c = 8.4042 Å
α = 76.53°, β = 76.53°, γ = 76.53°
Sites, in units of the cell vectors:
Cs  0.6490  0.6490  0.6490
Ac  0.3206  0.3206  0.3206
Hg  0.2987  0.0044  0.7011
Hg  0.7011  0.2987  0.0044
Hg  0.0044  0.7011  0.2987
Hg  0.2987  0.7011  0.0044
Hg  0.0044  0.2987  0.7011
Hg  0.7011  0.0044  0.2987
Hg  0.3475  0.8985  0.3475
Hg  0.3475  0.3475  0.8985
Hg  0.8985  0.3475  0.3475
Hg  0.5954  0.2161  0.5954
Hg  0.5954  0.5954  0.2161
Hg  0.2161  0.5954  0.5954
Hg  0.9535  0.5624  0.9535
Hg  0.9535  0.9535  0.5624
Hg  0.5624  0.9535  0.9535
Hg  0.9384  0.9384  0.9384
Hg  0.1138  0.1138  0.1138

Formation enthalpy at 0 K ... -0.13 eV/atom
DOS at the Fermi energy ... 7.83 states/eV per cell


No. 24
Material: LaMg2Fe
Method: DFT, PBE-GGA
State: relaxed

a = 3.3217 Å, b = 3.3217 Å, c = 8.2895 Å
α = 90.00°, β = 90.00°, γ = 89.96°
Last column: magnetic moment on the atom in μB.
Sites, in units of the cell vectors:
Fe  0.0000  0.0000  0.4676  2.37
La  0.5000  0.5000  0.7009  -0.22
Mg  0.0000  0.0000  0.0378  0.00
Mg  0.5000  0.5000  0.2937  -0.03

Formation enthalpy at 0 K ... 0.17 eV/atom
DOS at the Fermi energy ... 5.08 states/eV per cell